This record from the Alexandria database describes a relaxed KLaNb2 crystal. The functional is PBE-GGA.

Summary:
magnetic moment: 0.00 μB per formula unit
energy of formation: 585 kJ/mol of formula units

```
4
Lattice="1.621 -4.035 -2.937 -2.389 -4.656 0.390 -2.996 -1.750 -3.937" Properties=species:S:1:pos:R:3 pbc="T T T"
Nb -0.941 -2.610 -1.621
Nb -2.823 -7.830 -4.863
La -1.882 -5.220 -3.242
K 0.000 0.000 0.000
```